4
Lattice="2.626 -0.009 0.000 -1.170 2.351 0.000 0.000 0.000 8.309" Properties=species:S:1:pos:R:3 comment="MnBeOs2 | Alexandria | GGA-PBE | relaxed" magnetic_moment_mub_per_cell=1.7 n_ef_per_ev_fu=4.68 spacegroup="Cmm2, No. 35" vol_a3_per_cell=51 e_form_ev_per_atom=0.3709 pbc="T T T"
Os 0.728 1.171 2.288
Be 0.000 0.000 4.211
Os 0.000 0.000 8.203
Mn 0.728 1.171 6.072